An optimized crystal structure of Fe4Rh5. Source: Alexandria, functional PBE-GGA.

Cell lengths 5.9574, 5.9574, 5.9574 Å; angles 95.91, 95.91, 142.57 degrees
Closest atoms and distances in Å follow each position.
Atoms (fractional coordinates):
Fe (0.0000, 0.3322, 0.3322)  7 Rh 2.65-2.68, 5 Fe 2.68-2.69
Fe (0.0000, 0.6678, 0.6678)  7 Rh 2.65-2.68, 5 Fe 2.68-2.69
Fe (0.3322, 0.0000, 0.3322)  7 Rh 2.65-2.68, 5 Fe 2.68-2.69
Fe (0.6678, 0.0000, 0.6678)  7 Rh 2.65-2.68, 5 Fe 2.68-2.69
Rh (0.0000, 0.0000, 0.0000)  4 Fe 2.65, 8 Rh 2.69
Rh (0.3320, 0.3320, 0.6640)  6 Fe 2.65-2.68, 6 Rh 2.66-2.69
Rh (0.3320, 0.6680, 0.0000)  6 Fe 2.65-2.68, 6 Rh 2.66-2.69
Rh (0.6680, 0.3320, 0.0000)  6 Fe 2.65-2.68, 6 Rh 2.66-2.69
Rh (0.6680, 0.6680, 0.3360)  6 Fe 2.65-2.68, 6 Rh 2.66-2.69

Summary:
* theoretical density: 10068 kg/m3
* offset from the most stable computed form: 0.0 kJ/mol of atoms
* calculated volume: 13.52 Å³/atom
* VASP energy: -0.288 Ha/atom
* DFT formation energy: 0.1 eV/f.u.

An optimized crystal structure of FeRh2. Source: Alexandria, functional PBE-GGA.

Cell lengths 5.7209, 5.7209, 5.7209 Å; angles 90.00, 90.00, 90.00 degrees
Closest atoms and distances in Å follow each position.
Atoms (fractional coordinates):
Fe (0.0000, 0.0000, 0.0000)  6 Rh 2.36
Fe (0.0000, 0.5000, 0.5000)  6 Rh 2.36
Fe (0.5000, 0.0000, 0.5000)  6 Rh 2.36
Fe (0.5000, 0.5000, 0.0000)  6 Rh 2.36
Rh (0.1304, 0.6304, 0.8696)  3 Fe 2.36, 1 Rh 2.58
Rh (0.1304, 0.8696, 0.3696)  3 Fe 2.36, 1 Rh 2.58
Rh (0.3696, 0.1304, 0.8696)  3 Fe 2.36, 1 Rh 2.58
Rh (0.3696, 0.3696, 0.3696)  3 Fe 2.36, 1 Rh 2.58
Rh (0.6304, 0.6304, 0.6304)  3 Fe 2.36, 1 Rh 2.58
Rh (0.6304, 0.8696, 0.1304)  3 Fe 2.36, 1 Rh 2.58
Rh (0.8696, 0.1304, 0.6304)  3 Fe 2.36, 1 Rh 2.58
Rh (0.8696, 0.3696, 0.1304)  3 Fe 2.36, 1 Rh 2.58

Summary:
* theoretical density: 9282 kg/m3
* calculated volume: 15.60 Å³/atom
* VASP energy: -0.260 Ha/atom
* DFT formation energy: 1.9 eV/f.u.

An optimized crystal structure of Fe3Rh2. Source: Alexandria, functional PBE-GGA.

Cell lengths 2.9647, 2.9647, 15.1134 Å; angles 90.00, 90.00, 90.00 degrees
Closest atoms and distances in Å follow each position.
Atoms (fractional coordinates):
Fe (0.0000, 0.0000, 0.0000)  8 Rh 2.60
Fe (0.0000, 0.0000, 0.2046)  4 Fe 2.51, 4 Rh 2.61
Fe (0.0000, 0.0000, 0.7954)  4 Fe 2.51, 4 Rh 2.61
Fe (0.5000, 0.5000, 0.2954)  4 Fe 2.51, 4 Rh 2.61
Fe (0.5000, 0.5000, 0.5000)  8 Rh 2.60
Fe (0.5000, 0.5000, 0.7046)  4 Fe 2.51, 4 Rh 2.61
Rh (0.0000, 0.0000, 0.3983)  8 Fe 2.60-2.61
Rh (0.0000, 0.0000, 0.6017)  8 Fe 2.60-2.61
Rh (0.5000, 0.5000, 0.1017)  8 Fe 2.60-2.61
Rh (0.5000, 0.5000, 0.8983)  8 Fe 2.60-2.61

Summary:
* theoretical density: 9334 kg/m3
* offset from the most stable computed form: 0.0 kJ/mol of atoms
* calculated volume: 13.28 Å³/atom
* VASP energy: -0.296 Ha/atom
* DFT formation energy: -0.2 eV/f.u.

An optimized crystal structure of FeRh4. Source: Alexandria, functional PBE-GGA.

Cell lengths 4.7489, 4.7489, 7.5228 Å; angles 90.00, 90.00, 90.00 degrees
Closest atoms and distances in Å follow each position.
Atoms (fractional coordinates):
Fe (0.0000, 0.0000, 0.0000)  2 Rh 2.59
Fe (0.5000, 0.5000, 0.5000)  2 Rh 2.59
Rh (0.0000, 0.0000, 0.3437)  5 Rh 2.35-2.48, 1 Fe 2.59
Rh (0.0000, 0.0000, 0.6563)  5 Rh 2.35-2.48, 1 Fe 2.59
Rh (0.0000, 0.5000, 0.2500)  4 Rh 2.48
Rh (0.0000, 0.5000, 0.7500)  4 Rh 2.48
Rh (0.5000, 0.0000, 0.2500)  4 Rh 2.48
Rh (0.5000, 0.0000, 0.7500)  4 Rh 2.48
Rh (0.5000, 0.5000, 0.1563)  5 Rh 2.35-2.48, 1 Fe 2.59
Rh (0.5000, 0.5000, 0.8437)  5 Rh 2.35-2.48, 1 Fe 2.59

Summary:
* theoretical density: 9151 kg/m3
* offset from the most stable computed form: 75.4 kJ/mol of atoms
* calculated volume: 16.97 Å³/atom
* VASP energy: -0.250 Ha/atom
* DFT formation energy: 3.8 eV/f.u.

An optimized crystal structure of FeRh. Source: Alexandria, functional PBE-GGA.

Cell lengths 2.7162, 3.5899, 8.1468 Å; angles 90.00, 90.00, 90.00 degrees
Closest atoms and distances in Å follow each position.
Atoms (fractional coordinates):
Fe (0.0000, 0.0000, 0.0000)  9 Rh 2.61-2.81, 3 Fe 2.72-2.74
Fe (0.0000, 0.0000, 0.3365)  5 Rh 2.60-2.62, 7 Fe 2.61-2.74
Fe (0.5000, 0.5000, 0.4998)  6 Rh 2.58-2.75, 6 Fe 2.61-2.72
Rh (0.0000, 0.0000, 0.6550)  6 Fe 2.58-2.81, 6 Rh 2.69-2.72
Rh (0.5000, 0.5000, 0.1712)  9 Fe 2.62-2.68, 3 Rh 2.72
Rh (0.5000, 0.5000, 0.8369)  5 Fe 2.61-2.75, 7 Rh 2.69-2.72

Summary:
* theoretical density: 9955 kg/m3
* calculated volume: 13.24 Å³/atom
* VASP energy: -0.290 Ha/atom
* DFT formation energy: 0.0 eV/f.u.

An optimized crystal structure of FeRh. Source: Alexandria, functional PBE-GGA.

Cell lengths 3.7131, 3.7131, 7.6753 Å; angles 90.00, 90.00, 90.00 degrees
Closest atoms and distances in Å follow each position.
Atoms (fractional coordinates):
Fe (0.0000, 0.2500, 0.3750)  8 Rh 2.63-2.67, 4 Fe 2.67
Fe (0.0000, 0.7500, 0.6250)  8 Rh 2.63-2.67, 4 Fe 2.67
Fe (0.5000, 0.2500, 0.1250)  8 Rh 2.63-2.67, 4 Fe 2.67
Fe (0.5000, 0.7500, 0.8750)  8 Rh 2.63-2.67, 4 Fe 2.67
Rh (0.0000, 0.2500, 0.8750)  8 Fe 2.63-2.67, 4 Rh 2.67
Rh (0.0000, 0.7500, 0.1250)  8 Fe 2.63-2.67, 4 Rh 2.67
Rh (0.5000, 0.2500, 0.6250)  8 Fe 2.63-2.67, 4 Rh 2.67
Rh (0.5000, 0.7500, 0.3750)  8 Fe 2.63-2.67, 4 Rh 2.67

Summary:
* theoretical density: 9964 kg/m3
* calculated volume: 13.23 Å³/atom
* VASP energy: -0.291 Ha/atom
* DFT formation energy: 0.0 eV/f.u.

An optimized crystal structure of FeRh. Source: Alexandria, functional PBE-GGA.

Cell lengths 3.7672, 3.7672, 4.9957 Å; angles 90.00, 90.00, 120.00 degrees
Closest atoms and distances in Å follow each position.
Atoms (fractional coordinates):
Fe (0.0000, 0.0000, 0.0000)  2 Fe 2.50, 6 Rh 2.51
Fe (0.0000, 0.0000, 0.5000)  2 Fe 2.50, 6 Rh 2.51
Rh (0.3333, 0.6667, 0.2500)  6 Fe 2.51
Rh (0.6667, 0.3333, 0.7500)  6 Fe 2.51

Summary:
* theoretical density: 8587 kg/m3
* calculated volume: 15.35 Å³/atom
* VASP energy: -0.273 Ha/atom
* DFT formation energy: 1.0 eV/f.u.

An optimized crystal structure of Fe5Rh. Source: Alexandria, functional PBE-GGA.

Cell lengths 2.5673, 4.0795, 7.0937 Å; angles 90.00, 90.32, 90.00 degrees
Closest atoms and distances in Å follow each position.
Atoms (fractional coordinates):
Fe (0.0000, 0.0000, 0.0000)  8 Fe 2.48-2.57
Fe (0.3304, 0.5000, 0.8392)  7 Fe 2.44-2.57, 1 Rh 2.55
Fe (0.3504, 0.0000, 0.3265)  6 Fe 2.48-2.57, 2 Rh 2.55
Fe (0.6496, 0.0000, 0.6735)  6 Fe 2.48-2.57, 2 Rh 2.55
Fe (0.6696, 0.5000, 0.1608)  7 Fe 2.44-2.57, 1 Rh 2.55
Rh (0.0000, 0.5000, 0.5000)  6 Fe 2.55, 2 Rh 2.57

Summary:
* theoretical density: 8541 kg/m3
* offset from the most stable computed form: 3.8 kJ/mol of atoms
* calculated volume: 12.38 Å³/atom
* VASP energy: -0.304 Ha/atom
* DFT formation energy: 0.1 eV/f.u.

An optimized crystal structure of Fe3Rh2. Source: Alexandria, functional PBE-GGA.

Cell lengths 9.4159, 2.9009, 6.6394 Å; angles 90.00, 133.64, 90.00 degrees
Closest atoms and distances in Å follow each position.
Atoms (fractional coordinates):
Fe (0.0000, 0.0000, 0.0000)  4 Fe 2.51, 4 Rh 2.57
Fe (0.2141, 0.0000, 0.8158)  4 Fe 2.50-2.51, 4 Rh 2.58-2.61
Fe (0.2859, 0.5000, 0.1842)  4 Fe 2.50-2.51, 4 Rh 2.58-2.61
Fe (0.5000, 0.5000, 0.0000)  4 Fe 2.51, 4 Rh 2.57
Fe (0.7141, 0.5000, 0.8158)  4 Fe 2.50-2.51, 4 Rh 2.58-2.61
Fe (0.7859, 0.0000, 0.1842)  4 Fe 2.50-2.51, 4 Rh 2.58-2.61
Rh (0.0867, 0.5000, 0.3916)  6 Fe 2.57-2.61, 3 Rh 2.74-2.83
Rh (0.4133, 0.0000, 0.6084)  6 Fe 2.57-2.61, 3 Rh 2.74-2.83
Rh (0.5867, 0.0000, 0.3916)  6 Fe 2.57-2.61, 3 Rh 2.74-2.83
Rh (0.9133, 0.5000, 0.6084)  6 Fe 2.57-2.61, 3 Rh 2.74-2.83

Summary:
* theoretical density: 9448 kg/m3
* offset from the most stable computed form: 3.1 kJ/mol of atoms
* calculated volume: 13.12 Å³/atom
* VASP energy: -0.295 Ha/atom
* DFT formation energy: 0.0 eV/f.u.

An optimized crystal structure of FeRh2. Source: Alexandria, functional PBE-GGA.

Cell lengths 2.7553, 2.7553, 10.6843 Å; angles 90.00, 90.00, 90.00 degrees
Closest atoms and distances in Å follow each position.
Atoms (fractional coordinates):
Fe (0.2500, 0.2500, 0.0723)  8 Fe 2.49-2.76, 4 Rh 2.58
Fe (0.7500, 0.7500, 0.9277)  8 Fe 2.49-2.76, 4 Rh 2.58
Rh (0.2500, 0.2500, 0.4130)  12 Rh 2.69-2.76
Rh (0.2500, 0.2500, 0.7691)  4 Fe 2.58, 8 Rh 2.75-2.76
Rh (0.7500, 0.7500, 0.2309)  4 Fe 2.58, 8 Rh 2.75-2.76
Rh (0.7500, 0.7500, 0.5870)  12 Rh 2.69-2.76

Summary:
* theoretical density: 10713 kg/m3
* calculated volume: 13.52 Å³/atom
* VASP energy: -0.283 Ha/atom
* DFT formation energy: 0.0 eV/f.u.

An optimized crystal structure of FeRh2. Source: Alexandria, functional PBE-GGA.

Cell lengths 2.6927, 2.6927, 6.4722 Å; angles 90.00, 90.00, 120.00 degrees
Closest atoms and distances in Å follow each position.
Atoms (fractional coordinates):
Fe (0.0000, 0.0000, 0.0000)  6 Rh 2.60, 6 Fe 2.69
Rh (0.3333, 0.6667, 0.3220)  3 Fe 2.60, 9 Rh 2.69-2.78
Rh (0.6667, 0.3333, 0.6780)  3 Fe 2.60, 9 Rh 2.69-2.78

Summary:
* theoretical density: 10691 kg/m3
* calculated volume: 13.55 Å³/atom
* VASP energy: -0.284 Ha/atom
* DFT formation energy: 0.0 eV/f.u.

An optimized crystal structure of Fe3Rh2. Source: Alexandria, functional PBE-GGA.

Cell lengths 2.9827, 2.9827, 14.8606 Å; angles 90.00, 90.00, 90.00 degrees
Closest atoms and distances in Å follow each position.
Atoms (fractional coordinates):
Fe (0.0000, 0.0000, 0.0000)  8 Rh 2.59
Fe (0.0000, 0.0000, 0.2024)  8 Rh 2.59-2.60
Fe (0.0000, 0.0000, 0.4081)  5 Fe 2.51-2.73, 4 Rh 2.61
Fe (0.0000, 0.0000, 0.5919)  5 Fe 2.51-2.73, 4 Rh 2.61
Fe (0.0000, 0.0000, 0.7976)  8 Rh 2.59-2.60
Fe (0.5000, 0.5000, 0.5000)  8 Fe 2.51
Rh (0.5000, 0.5000, 0.1016)  8 Fe 2.59
Rh (0.5000, 0.5000, 0.3043)  8 Fe 2.60-2.61
Rh (0.5000, 0.5000, 0.6957)  8 Fe 2.60-2.61
Rh (0.5000, 0.5000, 0.8984)  8 Fe 2.59

Summary:
* theoretical density: 9379 kg/m3
* offset from the most stable computed form: 0.2 kJ/mol of atoms
* calculated volume: 13.22 Å³/atom
* VASP energy: -0.296 Ha/atom
* DFT formation energy: -0.2 eV/f.u.